Density functional theory data (GGA-PBE) for NaSnGe2 after structural relaxation.

Its energy of formation is 45.3 kJ/mol of formula units. The value obtained for the energy above the lowest structure with this stoichiometry is 5.3 kJ per mole of atoms. Its space group is I-42d, No. 122. As for the final energy: -3.522 eV/atom.

Cell: 8.132 8.132 6.477 Å, 51.11 51.11 90.00°
Element x y z (fractional)
Ge: 0.085 0.625 0.250
Na: 0.250 0.750 0.500
Ge: 0.875 0.915 0.750
Ge: 0.375 0.335 0.750
Sn: 0.750 0.250 0.500
Sn: 0.000 0.000 0.000
Ge: 0.665 0.125 0.250
Na: 0.500 0.500 0.000